No. 1
TaCuW2, optimized geometry, DFT GGA-PBE; formation energy = 0.342 eV per atom
1.0
5.1198 0.0040 0.0000
-2.1625 4.6407 0.0000
0.0000 0.0000 2.6894
W Cu Ta
2 1 1
direct
0.0000 0.0000 0.0000 W
0.5000 0.5000 0.0000 W
0.5000 0.0000 0.5000 Cu
0.0000 0.5000 0.5000 Ta



No. 2
TaCuW2, optimized geometry, DFT GGA-PBE; formation energy = 0.133 eV per atom
1.0
2.7351 0.0020 0.0000
-0.8173 2.6101 0.0000
0.0000 0.0000 8.8520
Ta W Cu
1 2 1
direct
0.5000 0.5000 0.7418 Ta
0.0000 0.0000 0.0054 W
0.5000 0.5000 0.2573 W
0.0000 0.0000 0.4956 Cu



No. 3
TaCuW4, optimized geometry, DFT GGA-PBE; formation energy = 0.474 eV per atom
1.0
0.0000 3.7197 3.7197
3.7197 0.0000 3.7197
3.7197 3.7197 0.0000
W Ta Cu
4 1 1
direct
0.3755 0.3755 0.8736 W
0.3755 0.8736 0.3755 W
0.8736 0.3755 0.3755 W
0.3755 0.3755 0.3755 W
0.0000 0.0000 0.0000 Ta
0.7500 0.7500 0.7500 Cu